Record 1
Ti2Ni7Au: relaxed, PBE.

a b c (Å): 2.577 10.754 10.754
angles (deg): 154.32 90.00 90.00
Atoms (fractional coordinates):
Au1 0.000 0.000 0.000
Ni1 0.500 0.354 0.148
Ni2 0.500 0.500 0.500
Ni3 0.000 0.813 0.187
Ni4 0.500 0.852 0.646
Ni5 0.500 0.646 0.852
Ti1 0.500 0.296 0.704
Ni6 0.500 0.148 0.354
Ni7 0.000 0.187 0.813
Ti2 0.500 0.704 0.296

Results
* SG: Cmmm (65)
* energy relative to the elements: -0.01 eV/atom

***

Record 2
Ti3NiAu: relaxed, PBE.

a b c (Å): 4.506 4.506 4.506
angles (deg): 90.00 90.00 90.00
Atoms (fractional coordinates):
Ni1 0.000 0.000 0.000
Au1 0.500 0.500 0.500
Ti1 0.000 0.000 0.500
Ti2 0.000 0.500 0.000
Ti3 0.500 0.000 0.000

Results
* SG: Pm-3m (221)
* energy relative to the elements: 0.22 eV/atom
* energy above the most stable polymorph in this dataset: 0.0 meV per atom